Record 1
The following is a DFT calculation (PBE) of a relaxed structure of AcCeAl2.

Cell: 3.8283 3.8283 7.5702 Å, 90.00 90.00 90.00°
Each line ends with the local moment (μB).
Fractional positions:
Al 0.0000 0.0000 0.2264  0.00
Ce 0.5000 0.5000 0.0000  0.74
Ac 0.5000 0.5000 0.5000  -0.01
Al 0.0000 0.0000 0.7736  0.00

Values from the calculation:
volume = 27.7 Å³ per atom
SG = P4/mmm
energy of formation from the pure elements = -0.22 eV/atom

=====

Record 2
The following is a DFT calculation (PBE) of a relaxed structure of Ag2Sn2HgI6.

Cell: 8.0959 11.3642 8.8966 Å, 117.89 92.10 46.78°
Fractional positions:
I 0.0985 0.2815 0.0877
Sn 0.0585 0.7651 0.2273
Ag 0.8848 0.2008 0.1886
I 0.3303 0.7681 0.5392
I 0.9015 0.7185 0.9123
Sn 0.9415 0.2349 0.7727
I 0.6697 0.2319 0.4608
I 0.3965 0.7448 0.0487
Hg 0.5000 0.0000 0.5000
Ag 0.1152 0.7992 0.8114
I 0.6035 0.2552 0.9513

Values from the calculation:
E_form (uncorrected) = -312 meV/atom
volume = 43.0 Å³ per atom
SG = P-1

=====

Record 3
The following is a DFT calculation (PBE) of a relaxed structure of Ce2Dy2O7.

Cell: 3.7516 7.7942 10.8921 Å, 90.00 90.00 90.00°
Fractional positions:
Dy 0.0000 0.2500 0.7691
Ce 0.5000 0.5000 0.0000
O 0.5000 0.7500 0.6073
Ce 0.0000 0.2500 0.2550
O 0.5000 0.7500 0.1272
O 0.5000 0.2500 0.8728
O 0.0000 0.0434 0.6254
Dy 0.0000 0.7500 0.2309
O 0.0000 0.4566 0.6254
O 0.0000 0.0107 0.1225
O 0.5000 0.2500 0.3927
O 0.0000 0.4893 0.1225
Dy 0.5000 0.0000 0.5000
O 0.0000 0.9566 0.3746
O 0.0000 0.9893 0.8775
O 0.0000 0.5434 0.3746
Dy 0.5000 0.5000 0.5000
Ce 0.0000 0.7500 0.7450
Ce 0.5000 0.0000 0.0000
O 0.5000 0.2500 0.1348
O 0.5000 0.7500 0.8652
O 0.0000 0.5107 0.8775

Values from the calculation:
E_form (uncorrected) = -3454 meV/atom
volume = 14.5 Å³ per atom
distance to the lowest polymorph of the same formula = 0.0 meV per atom
SG = Pmma

=====

Record 4
The following is a DFT calculation (PBE) of a relaxed structure of Y5Se.

Cell: 6.1370 6.1370 5.3129 Å, 90.00 90.00 120.00°
Fractional positions:
Y 0.3091 0.3091 0.0000
Y 0.6909 0.0000 0.0000
Se 0.0000 0.0000 0.5000
Y 0.6667 0.3333 0.5000
Y 0.0000 0.6909 0.0000
Y 0.3333 0.6667 0.5000

Values from the calculation:
E_form (uncorrected) = -241 meV/atom
volume = 28.9 Å³ per atom
distance to the lowest polymorph of the same formula = 238.8 meV per atom
SG = P-62m

=====

Record 5
The following is a DFT calculation (PBE) of a relaxed structure of NaYB2Rh.

Cell: 4.5107 5.0983 4.5107 Å, 90.00 90.00 90.00°
Fractional positions:
Y 0.0000 0.0000 0.0000
B 0.0000 0.0000 0.5000
B 0.5000 0.0000 0.0000
Rh 0.5000 0.5000 0.5000
Na 0.0000 0.5000 0.0000

Values from the calculation:
volume = 20.7 Å³ per atom
SG = P4/mmm
energy of formation from the pure elements = 2.08 eV/atom

=====

Record 6
The following is a DFT calculation (PBE) of a relaxed structure of Sm2As4PdPt3.

Cell: 4.4534 4.4534 9.8712 Å, 90.00 90.00 90.00°
Fractional positions:
As 0.0000 0.5000 0.3703
Pd 0.5000 0.5000 0.5000
As 0.0000 0.0000 0.0000
Sm 0.0000 0.5000 0.7484
Pt 0.5000 0.0000 0.8786
Pt 0.0000 0.5000 0.1214
Pt 0.0000 0.0000 0.5000
As 0.5000 0.5000 0.0000
Sm 0.5000 0.0000 0.2516
As 0.5000 0.0000 0.6297

Values from the calculation:
volume = 19.6 Å³ per atom
SG = P-4m2
energy of formation from the pure elements = -0.87 eV/atom

=====

Record 7
The following is a DFT calculation (PBE) of a relaxed structure of BaLiTl2Zn.

Cell: 5.4339 5.4339 5.1770 Å, 90.00 90.00 90.00°
Fractional positions:
Li 0.0000 0.0000 0.5000
Zn 0.0000 0.0000 0.0000
Ba 0.5000 0.5000 0.5000
Tl 0.5000 0.0000 0.0000
Tl 0.0000 0.5000 0.0000

Values from the calculation:
volume = 30.6 Å³ per atom
distance to the lowest polymorph of the same formula = 34.2 meV per atom
SG = P4/mmm
energy of formation from the pure elements = -0.10 eV/atom

=====

Record 8
The following is a DFT calculation (PBE) of a relaxed structure of SrLiCu2.

Cell: 5.8898 5.8898 5.8898 Å, 43.03 43.03 43.03°
Fractional positions:
Cu 0.9437 0.9437 0.9437
Sr 0.7500 0.7500 0.7500
Li 0.2500 0.2500 0.2500
Cu 0.5563 0.5563 0.5563

Values from the calculation:
volume = 21.6 Å³ per atom
distance to the lowest polymorph of the same formula = 0.0 meV per atom
SG = R-3m
energy of formation from the pure elements = -0.05 eV/atom

=====

Record 9
The following is a DFT calculation (PBE) of a relaxed structure of Pr3ErCo.

Cell: 5.4556 5.4556 5.4556 Å, 90.00 90.00 90.00°
Fractional positions:
Pr 0.5000 0.0000 0.0000
Pr 0.0000 0.5000 0.0000
Er 0.5000 0.5000 0.5000
Co 0.0000 0.0000 0.0000
Pr 0.0000 0.0000 0.5000

Values from the calculation:
volume = 32.5 Å³ per atom
SG = Pm-3m
energy of formation from the pure elements = 0.13 eV/atom

=====

Record 10
The following is a DFT calculation (PBE) of a relaxed structure of ErTm2C2.

Cell: 4.9857 6.1905 7.2242 Å, 107.77 90.00 113.75°
Each line ends with the local moment (μB).
Fractional positions:
C 0.8319 0.6638 0.4129  0.02
Er 0.6555 0.3109 0.0964  0.26
Tm 0.0069 0.0137 0.7269  0.14
Tm 0.6619 0.3237 0.5667  0.10
Tm 0.3381 0.6763 0.4333  0.10
Er 0.3445 0.6891 0.9036  0.26
C 0.5036 0.0073 0.7625  0.03
Tm 0.9931 0.9863 0.2731  0.14
C 0.4964 0.9927 0.2375  0.03
C 0.1681 0.3362 0.5871  0.02

Values from the calculation:
volume = 19.2 Å³ per atom
SG = C2/m
energy of formation from the pure elements = -0.28 eV/atom

=====

Record 11
The following is a DFT calculation (PBE) of a relaxed structure of HgMoCl6.

Cell: 6.8938 6.8333 13.7588 Å, 75.82 90.00 120.29°
Each line ends with the local moment (μB).
Fractional positions:
Cl 0.6409 0.1788 0.5918  0.00
Hg 0.2061 0.0000 0.2500  -0.02
Cl 0.7576 0.7398 0.0873  -0.01
Cl 0.5379 0.1788 0.0918  0.00
Cl 0.8289 0.6307 0.3682  0.00
Cl 0.9823 0.7398 0.5873  -0.01
Mo 0.5000 0.5000 0.0000  0.81
Cl 0.2424 0.2602 0.9127  -0.01
Cl 0.4621 0.8212 0.9082  0.00
Cl 0.1982 0.3693 0.1318  0.00
Cl 0.3591 0.8212 0.4082  0.00
Hg 0.7939 0.0000 0.7500  -0.02
Cl 0.8018 0.6307 0.8682  0.00
Cl 0.1711 0.3693 0.6318  0.00
Mo 0.0000 0.5000 0.5000  0.81
Cl 0.0177 0.2602 0.4127  -0.01

Values from the calculation:
E_form (uncorrected) = -708 meV/atom
volume = 33.5 Å³ per atom
distance to the lowest polymorph of the same formula = 3.2 meV per atom
SG = C2/c

=====

Record 12
The following is a DFT calculation (PBE) of a relaxed structure of Ce3Hg2H.

Cell: 5.6784 7.8833 8.1041 Å, 80.06 61.36 68.89°
Each line ends with the local moment (μB).
Fractional positions:
Ce 0.6546 0.0000 0.8137  0.43
Hg 0.5000 0.0000 0.5000  0.01
Ce 0.3454 0.0000 0.1863  0.43
Ce 0.5378 0.6568 0.7982  0.82
Hg 0.0000 0.0000 0.0000  0.01
Ce 0.8054 0.6568 0.2018  0.82
Ce 0.1946 0.3432 0.7982  0.82
Hg 0.8404 0.3191 0.5000  0.00
H 0.7408 0.5184 0.0000  -0.01
H 0.2592 0.4816 0.0000  -0.01
Ce 0.4622 0.3432 0.2018  0.82
Hg 0.1596 0.6809 0.5000  0.00

Values from the calculation:
volume = 24.8 Å³ per atom
E = -45.78 eV for the cell shown
SG = C2/m

=====

Record 13
The following is a DFT calculation (PBE) of a relaxed structure of TbDy2Se3.

Cell: 4.1003 5.7551 7.0578 Å, 114.06 106.89 90.00°
Fractional positions:
Dy 0.8346 0.8346 0.1691
Tb 0.5000 0.5000 0.5000
Se 0.1681 0.6681 0.8362
Dy 0.1654 0.1654 0.8309
Se 0.5000 0.0000 0.5000
Se 0.8319 0.3319 0.1638

Values from the calculation:
E_form (uncorrected) = -1755 meV/atom
volume = 24.0 Å³ per atom
SG = Immm

=====

Record 14
The following is a DFT calculation (PBE) of a relaxed structure of Ca3Ac2PaP6.

Cell: 7.4309 7.4309 7.1857 Å, 100.04 100.04 120.03°
Fractional positions:
Pa 0.0000 0.0000 0.0000
P 0.9185 0.6113 0.7556
Ac 0.3333 0.6667 0.0000
Ac 0.6667 0.3333 0.0000
P 0.3887 0.0815 0.2444
Ca 0.1700 0.8300 0.5000
Ca 0.5000 0.5000 0.5000
P 0.2238 0.2238 0.7589
Ca 0.8300 0.1700 0.5000
P 0.7762 0.7762 0.2411
P 0.0815 0.3887 0.2444
P 0.6113 0.9185 0.7556

Values from the calculation:
volume = 26.8 Å³ per atom
SG = C2/m
energy of formation from the pure elements = -1.21 eV/atom

=====

Record 15
The following is a DFT calculation (PBE) of a relaxed structure of CrSiSe3.

Cell: 4.8229 4.8229 4.8229 Å, 90.00 90.00 90.00°
Each line ends with the local moment (μB).
Fractional positions:
Se 0.0000 0.0000 0.5000  -0.10
Cr 0.0000 0.0000 0.0000  2.56
Se 0.0000 0.5000 0.0000  -0.07
Si 0.5000 0.5000 0.5000  0.12
Se 0.5000 0.0000 0.0000  -0.14

Values from the calculation:
E_form (uncorrected) = 401 meV/atom
volume = 22.4 Å³ per atom
SG = Pm-3m

=====

Record 16
The following is a DFT calculation (PBE) of a relaxed structure of BaAg3Pb.

Cell: 5.8991 5.8991 5.8991 Å, 90.00 90.00 90.00°
Fractional positions:
Ag 0.0000 0.0000 0.5000
Pb 0.5000 0.5000 0.5000
Ag 0.5000 0.0000 0.0000
Ag 0.0000 0.5000 0.0000
Ba 0.0000 0.0000 0.0000

Values from the calculation:
volume = 41.1 Å³ per atom
distance to the lowest polymorph of the same formula = 1068.6 meV per atom
SG = Pm-3m
energy of formation from the pure elements = 0.88 eV/atom

=====

Record 17
The following is a DFT calculation (PBE) of a relaxed structure of LiLaHo.

Cell: 3.6805 3.6805 13.0594 Å, 90.00 90.00 90.00°
Fractional positions:
La 0.5000 0.0000 0.3932
La 0.0000 0.5000 0.6068
Li 0.0000 0.5000 0.9501
Ho 0.5000 0.0000 0.7954
Ho 0.0000 0.5000 0.2046
Li 0.5000 0.0000 0.0499

Values from the calculation:
volume = 29.5 Å³ per atom
distance to the lowest polymorph of the same formula = 0.0 meV per atom
SG = P4/nmm
energy of formation from the pure elements = 0.07 eV/atom

=====

Record 18
The following is a DFT calculation (PBE) of a relaxed structure of Ac3CdSn6Pd2.

Cell: 6.5068 6.5068 9.9598 Å, 90.00 90.00 120.00°
Fractional positions:
Sn 0.8227 0.6454 0.7290
Ac 0.3333 0.6667 0.5909
Cd 0.0000 0.0000 0.5000
Sn 0.6454 0.8227 0.2710
Sn 0.1773 0.3546 0.2710
Sn 0.8227 0.1773 0.7290
Ac 0.6667 0.3333 0.4091
Ac 0.0000 0.0000 0.0000
Pd 0.3333 0.6667 0.0565
Sn 0.3546 0.1773 0.7290
Sn 0.1773 0.8227 0.2710
Pd 0.6667 0.3333 0.9435

Values from the calculation:
volume = 30.4 Å³ per atom
SG = P-3m1
energy of formation from the pure elements = -0.33 eV/atom

=====

Record 19
The following is a DFT calculation (PBE) of a relaxed structure of Pu3Rh3Pb2.

Cell: 3.4557 4.6569 11.8399 Å, 101.34 98.39 90.00°
Each line ends with the local moment (μB).
Fractional positions:
Pu 0.6099 0.6099 0.2198  -5.11
Rh 0.0000 0.5000 0.0000  -0.10
Rh 0.1062 0.1062 0.2123  0.21
Rh 0.8938 0.8938 0.7877  0.21
Pu 0.5000 0.0000 0.0000  4.84
Pb 0.2853 0.7853 0.5706  0.01
Pb 0.7147 0.2147 0.4294  0.01
Pu 0.3901 0.3901 0.7802  -5.11

Values from the calculation:
volume = 23.1 Å³ per atom
SG = Immm
energy of formation from the pure elements = -0.25 eV/atom

=====

Record 20
The following is a DFT calculation (PBE) of a relaxed structure of CsFe4Br2.

Cell: 4.8644 4.8644 9.2398 Å, 74.74 74.74 90.00°
Each line ends with the local moment (μB).
Fractional positions:
Fe 0.7412 0.7412 0.5176  3.27
Cs 0.0000 0.0000 0.0000  -0.06
Fe 0.5000 0.0000 0.0000  2.41
Fe 0.0000 0.5000 0.0000  2.41
Br 0.5945 0.5945 0.8110  0.09
Br 0.4055 0.4055 0.1890  0.09
Fe 0.2588 0.2588 0.4824  3.27

Values from the calculation:
E_form (uncorrected) = 1749 meV/atom
volume = 29.0 Å³ per atom
SG = I4/mmm

=====

Record 21
The following is a DFT calculation (PBE) of a relaxed structure of Tl17Hg11Bi.

Cell: 10.7889 10.7889 10.1365 Å, 109.43 109.43 113.31°
Fractional positions:
Tl 0.0004 0.0004 0.9934
Tl 0.3168 0.5961 0.0012
Tl 0.9983 0.3135 0.5975
Tl 0.0026 0.3452 0.0037
Tl 0.3135 0.9983 0.5975
Hg 0.9982 0.6212 0.8063
Hg 0.8140 0.6406 0.0034
Tl 0.3917 0.7135 0.3971
Tl 0.6451 0.6451 0.6303
Hg 0.1906 0.8114 0.1851
Hg 0.6406 0.8140 0.0034
Hg 0.1799 0.1799 0.7909
Tl 0.5961 0.3168 0.0012
Tl 0.6869 0.2916 0.6924
Tl 0.2916 0.6869 0.6924
Bi 0.3683 0.3683 0.1857
Hg 0.0036 0.8118 0.6375
Tl 0.9984 0.6008 0.3164
Hg 0.8114 0.1906 0.1851
Tl 0.7135 0.3917 0.3971
Tl 0.6008 0.9984 0.3164
Hg 0.1780 0.3685 0.3762
Tl 0.3452 0.0026 0.0037
Hg 0.3685 0.1780 0.3762
Tl 0.4083 0.4083 0.7199
Hg 0.6212 0.9982 0.8063
Tl 0.6955 0.6955 0.2942
Tl 0.0093 0.0093 0.3519
Hg 0.8118 0.0036 0.6375

Values from the calculation:
volume = 29.7 Å³ per atom
SG = Cm
energy of formation from the pure elements = 0.00 eV/atom

=====

Record 22
The following is a DFT calculation (PBE) of a relaxed structure of NbAlAg3.

Cell: 5.1995 5.1995 5.1995 Å, 90.00 90.00 90.00°
Fractional positions:
Nb 0.0000 0.0000 0.0000
Ag 0.5000 0.0000 0.0000
Al 0.5000 0.5000 0.5000
Ag 0.0000 0.0000 0.5000
Ag 0.0000 0.5000 0.0000

Values from the calculation:
volume = 28.1 Å³ per atom
distance to the lowest polymorph of the same formula = 589.4 meV per atom
SG = Pm-3m
energy of formation from the pure elements = 1.48 eV/atom

=====

Record 23
The following is a DFT calculation (PBE) of a relaxed structure of AsOs2Pb.

Cell: 4.4049 4.4049 5.8209 Å, 78.79 78.79 40.36°
Fractional positions:
As 0.7500 0.7500 0.7500
Os 0.4953 0.4953 0.5583
Pb 0.2500 0.2500 0.2500
Os 0.0047 0.0047 0.9417

Values from the calculation:
volume = 17.9 Å³ per atom
distance to the lowest polymorph of the same formula = 315.8 meV per atom
SG = C2/m
energy of formation from the pure elements = 0.72 eV/atom